Record 1
Sc2TiAuN | PBE-GGA | optimized geometry

a b c (Å): 4.4099 4.4099 4.1350
angles (deg): 90.00 90.00 90.00
With the nearest neighbours (Å) after each atom.
Fractional positions:
Sc 0.0000 0.5000 0.0000  2 N 2.20
Sc 0.5000 0.0000 0.0000  2 N 2.20
Ti 0.0000 0.0000 0.5000  2 N 2.07
Au 0.5000 0.5000 0.5000  8 Sc 3.02, 4 Ti 3.12
N 0.0000 0.0000 0.0000  2 Ti 2.07, 4 Sc 2.20

Summary:
The calculated volume is 80.4 Å³ per cell. The final energy is -37.68 eV per cell. The value obtained for the total magnetic moment is 0.00 Bohr magnetons per cell. Its density of states at the Fermi level is 4.627 states/eV/f.u. Its formation energy (no corrections) is -1.1031 eV per atom.

Record 2
Sc2VAuN | PBE-GGA | optimized geometry

a b c (Å): 4.4774 4.4774 3.9082
angles (deg): 90.00 90.00 90.00
With the nearest neighbours (Å) after each atom.
Fractional positions:
Sc 0.0000 0.5000 0.0000  2 N 2.24
Sc 0.5000 0.0000 0.0000  2 N 2.24
V 0.0000 0.0000 0.5000  2 N 1.95
Au 0.5000 0.5000 0.5000  8 Sc 2.97, 4 V 3.17
N 0.0000 0.0000 0.0000  2 V 1.95

Summary:
The calculated volume is 78.3 Å³ per cell. The final energy is -38.35 eV per cell. The value obtained for the total magnetic moment is 1.55 Bohr magnetons per cell. Its density of states at the Fermi level is 2.494 states/eV/f.u. Its formation energy (no corrections) is -0.9925 eV per atom.

Record 3
YSc2AuN | PBE-GGA | optimized geometry

a b c (Å): 4.4029 4.4029 4.8107
angles (deg): 90.00 90.00 90.00
With the nearest neighbours (Å) after each atom.
Fractional positions:
Y 0.0000 0.0000 0.0000  2 N 2.41
Sc 0.0000 0.5000 0.5000  2 N 2.20
Sc 0.5000 0.0000 0.5000  2 N 2.20
Au 0.5000 0.5000 0.0000  4 Y 3.11, 8 Sc 3.26
N 0.0000 0.0000 0.5000  4 Sc 2.20, 2 Y 2.41

Summary:
The calculated volume is 93.3 Å³ per cell. The final energy is -36.19 eV per cell. The value obtained for the total magnetic moment is 0.00 Bohr magnetons per cell. Its density of states at the Fermi level is 6.567 states/eV/f.u. Its formation energy (no corrections) is -1.0914 eV per atom.

Record 4
ScZnAuN2 | PBE-GGA | optimized geometry

a b c (Å): 3.9486 3.9486 6.9613
angles (deg): 90.00 90.00 90.00
With the nearest neighbours (Å) after each atom.
Fractional positions:
Sc 0.0000 0.0000 0.0000  4 N 1.97
Zn 0.0000 0.0000 0.5000  4 Au 2.79
Au 0.5000 0.5000 0.5000  4 Zn 2.79
N 0.0000 0.5000 0.0000  2 Sc 1.97
N 0.5000 0.0000 0.0000  2 Sc 1.97

Summary:
The calculated volume is 108.5 Å³ per cell. The final energy is -23.15 eV per cell. The value obtained for the total magnetic moment is 0.00 Bohr magnetons per cell. Its density of states at the Fermi level is 3.119 states/eV/f.u. Its formation energy (no corrections) is 0.8764 eV per atom.

Record 5
ZrSc2AuN | PBE-GGA | optimized geometry

a b c (Å): 4.3940 4.3940 4.4833
angles (deg): 90.00 90.00 90.00
With the nearest neighbours (Å) after each atom.
Fractional positions:
Zr 0.0000 0.0000 0.0000  2 N 2.24
Sc 0.0000 0.5000 0.5000  2 N 2.20
Sc 0.5000 0.0000 0.5000  2 N 2.20
Au 0.5000 0.5000 0.0000  4 Zr 3.11, 8 Sc 3.14
N 0.0000 0.0000 0.5000  4 Sc 2.20, 2 Zr 2.24

Summary:
The calculated volume is 86.6 Å³ per cell. The final energy is -38.30 eV per cell. The value obtained for the total magnetic moment is 0.00 Bohr magnetons per cell. Its density of states at the Fermi level is 4.461 states/eV/f.u. Its formation energy (no corrections) is -1.0979 eV per atom.

Record 6
AuSe2N | PBE-GGA | optimized geometry

a b c (Å): 6.6397 6.6397 6.6397
angles (deg): 37.03 37.03 37.03
With the nearest neighbours (Å) after each atom.
Fractional positions:
Au 0.0000 0.0000 0.0000  6 Se 2.79
Se 0.4064 0.4064 0.4064  1 N 1.73
Se 0.5936 0.5936 0.5936  1 N 1.73
N 0.5000 0.5000 0.5000  2 Se 1.73

Summary:
The calculated volume is 95.1 Å³ per cell. The final energy is -16.05 eV per cell. The value obtained for the total magnetic moment is 0.00 Bohr magnetons per cell. Its density of states at the Fermi level is 1.217 states/eV/f.u. Its formation energy (no corrections) is 0.6297 eV per atom.

Record 7
AuSeN3 | PBE-GGA | optimized geometry

a b c (Å): 3.8795 3.8795 3.8795
angles (deg): 90.00 90.00 90.00
With the nearest neighbours (Å) after each atom.
Fractional positions:
Au 0.0000 0.0000 0.0000  12 N 2.74
Se 0.5000 0.5000 0.5000  6 N 1.94
N 0.0000 0.5000 0.5000  2 Se 1.94
N 0.5000 0.0000 0.5000  2 Se 1.94
N 0.5000 0.5000 0.0000  2 Se 1.94

Summary:
The calculated volume is 58.4 Å³ per cell. The final energy is -20.42 eV per cell. The value obtained for the total magnetic moment is 2.90 Bohr magnetons per cell. Its density of states at the Fermi level is 1.766 states/eV/f.u. Its formation energy (no corrections) is 2.2637 eV per atom.

Record 8
Au3SeN | PBE-GGA | optimized geometry

a b c (Å): 5.0637 5.0637 5.0637
angles (deg): 90.00 90.00 90.00
With the nearest neighbours (Å) after each atom.
Fractional positions:
Au 0.0000 0.0000 0.5000  2 Se 2.53
Au 0.0000 0.5000 0.0000  2 Se 2.53
Au 0.5000 0.0000 0.0000  2 Se 2.53
Se 0.0000 0.0000 0.0000  6 Au 2.53
N 0.5000 0.5000 0.5000  12 Au 3.58

Summary:
The calculation puts the relative energy among the computed polymorphs at 2.604 eV per formula unit. The calculated volume is 129.8 Å³ per cell. The final energy is -14.58 eV per cell. The value obtained for the total magnetic moment is 2.72 Bohr magnetons per cell. Its density of states at the Fermi level is 1.866 states/eV/f.u. Its formation energy (no corrections) is 1.4116 eV per atom.

Record 9
AuSe2N2 | PBE-GGA | optimized geometry

a b c (Å): 3.9119 3.9119 8.0520
angles (deg): 90.00 90.00 90.00
With the nearest neighbours (Å) after each atom.
Fractional positions:
Au 0.0000 0.0000 0.0000  4 N 1.96
Se 0.0000 0.0000 0.5000  4 Se 2.77
Se 0.5000 0.5000 0.5000  4 Se 2.77
N 0.0000 0.5000 0.0000  2 Au 1.96
N 0.5000 0.0000 0.0000  2 Au 1.96

Summary:
The calculation puts the relative energy among the computed polymorphs at 1.285 eV per formula unit. The calculated volume is 123.2 Å³ per cell. The final energy is -18.78 eV per cell. The value obtained for the total magnetic moment is 3.36 Bohr magnetons per cell. Its density of states at the Fermi level is 2.533 states/eV/f.u. Its formation energy (no corrections) is 1.6236 eV per atom.

Record 10
AuSe2N2 | PBE-GGA | optimized geometry

a b c (Å): 3.7306 3.7306 6.6745
angles (deg): 90.00 90.00 90.00
With the nearest neighbours (Å) after each atom.
Fractional positions:
Au 0.0000 0.0000 0.0000  4 Se 2.64
Se 0.5000 0.5000 0.0000  4 Au 2.64
Se 0.5000 0.5000 0.5000  4 N 1.87
N 0.0000 0.5000 0.5000  2 Se 1.87
N 0.5000 0.0000 0.5000  2 Se 1.87

Summary:
The calculation puts the relative energy among the computed polymorphs at 0.595 eV per formula unit. The calculated volume is 92.9 Å³ per cell. The final energy is -19.47 eV per cell. The value obtained for the total magnetic moment is 0.76 Bohr magnetons per cell. Its density of states at the Fermi level is 2.493 states/eV/f.u. Its formation energy (no corrections) is 1.4856 eV per atom.

Record 11
AuSe2N | PBE-GGA | optimized geometry

a b c (Å): 8.1884 8.1884 8.1884
angles (deg): 22.63 22.63 22.63
With the nearest neighbours (Å) after each atom.
Fractional positions:
Au 0.0000 0.0000 0.0000  2 Se 2.55
Se 0.1065 0.1065 0.1065  3 N 2.35, 1 Au 2.55
Se 0.8935 0.8935 0.8935  3 N 2.35, 1 Au 2.55
N 0.5000 0.5000 0.5000  6 Se 2.35

Summary:
The calculated volume is 71.3 Å³ per cell. The final energy is -14.43 eV per cell. The value obtained for the total magnetic moment is 0.00 Bohr magnetons per cell. Its density of states at the Fermi level is 1.744 states/eV/f.u. Its formation energy (no corrections) is 1.0350 eV per atom.

Record 12
AuSe2N2 | PBE-GGA | optimized geometry

a b c (Å): 5.4314 5.4314 3.7396
angles (deg): 90.00 90.00 90.00
With the nearest neighbours (Å) after each atom.
Fractional positions:
Au 0.0000 0.0000 0.0000  2 N 1.87
Se 0.0000 0.5000 0.0000  2 Au 2.72
Se 0.5000 0.0000 0.0000  2 Au 2.72
N 0.0000 0.0000 0.5000  2 Au 1.87
N 0.5000 0.5000 0.5000  8 Se 3.30

Summary:
The calculation puts the relative energy among the computed polymorphs at 4.034 eV per formula unit. The calculated volume is 110.3 Å³ per cell. The final energy is -16.03 eV per cell. The value obtained for the total magnetic moment is 1.09 Bohr magnetons per cell. Its density of states at the Fermi level is 5.201 states/eV/f.u. Its formation energy (no corrections) is 2.1734 eV per atom.

Record 13
AuSeN2 | PBE-GGA | optimized geometry

a b c (Å): 6.4087 6.4087 6.4087
angles (deg): 29.79 29.79 29.79
With the nearest neighbours (Å) after each atom.
Fractional positions:
Au 0.0000 0.0000 0.0000  6 N 2.17
Se 0.5000 0.5000 0.5000  2 N 2.02
N 0.3897 0.3897 0.3897  1 Se 2.02, 3 Au 2.17
N 0.6103 0.6103 0.6103  1 Se 2.02, 3 Au 2.17

Summary:
The calculated volume is 57.5 Å³ per cell. The final energy is -18.13 eV per cell. The value obtained for the total magnetic moment is 0.00 Bohr magnetons per cell. Its density of states at the Fermi level is 2.216 states/eV/f.u. Its formation energy (no corrections) is 1.3213 eV per atom.

Record 14
AuSeN2 | PBE-GGA | optimized geometry

a b c (Å): 5.9832 5.9832 5.9832
angles (deg): 130.83 130.83 72.09
With the nearest neighbours (Å) after each atom.
Fractional positions:
Au 0.0000 0.0000 0.0000  4 N 2.31
Au 0.7500 0.2500 0.5000  4 N 2.31
Se 0.2500 0.7500 0.5000  4 N 1.98
Se 0.5000 0.5000 0.0000  4 N 1.98
N 0.1823 0.6250 0.0573  2 Se 1.98
N 0.3750 0.4323 0.5573  2 Se 1.98
N 0.5677 0.1250 0.9427  2 Se 1.98
N 0.8750 0.8177 0.4427  2 Se 1.98

Summary:
The calculated volume is 119.9 Å³ per cell. The final energy is -35.17 eV per cell. The value obtained for the total magnetic moment is 0.00 Bohr magnetons per cell. Its density of states at the Fermi level is 1.510 states/eV/f.u. Its formation energy (no corrections) is 1.4566 eV per atom.

Record 15
AuSe3N | PBE-GGA | optimized geometry

a b c (Å): 4.4492 4.4492 4.4492
angles (deg): 90.00 90.00 90.00
With the nearest neighbours (Å) after each atom.
Fractional positions:
Au 0.0000 0.0000 0.0000  12 Se 3.15
Se 0.0000 0.5000 0.5000  2 N 2.22
Se 0.5000 0.0000 0.5000  2 N 2.22
Se 0.5000 0.5000 0.0000  2 N 2.22
N 0.5000 0.5000 0.5000  6 Se 2.22

Summary:
The calculation puts the relative energy among the computed polymorphs at 0.000 eV per formula unit. The calculated volume is 88.1 Å³ per cell. The final energy is -16.75 eV per cell. The value obtained for the total magnetic moment is 0.00 Bohr magnetons per cell. Its density of states at the Fermi level is 4.989 states/eV/f.u. Its formation energy (no corrections) is 1.0618 eV per atom.

Record 16
AuSeN2 | PBE-GGA | optimized geometry

a b c (Å): 6.4675 6.4675 6.4675
angles (deg): 28.36 28.36 28.36
With the nearest neighbours (Å) after each atom.
Fractional positions:
Au 0.0000 0.0000 0.0000  2 N 2.03
Se 0.5000 0.5000 0.5000  6 N 2.12
N 0.1093 0.1093 0.1093  1 Au 2.03, 3 Se 2.12
N 0.8907 0.8907 0.8907  1 Au 2.03, 3 Se 2.12

Summary:
The calculated volume is 53.9 Å³ per cell. The final energy is -18.91 eV per cell. The value obtained for the total magnetic moment is 0.00 Bohr magnetons per cell. Its density of states at the Fermi level is 1.781 states/eV/f.u. Its formation energy (no corrections) is 1.1265 eV per atom.

Record 17
AuSeN2 | PBE-GGA | optimized geometry

a b c (Å): 13.2985 13.2985 4.5312
angles (deg): 92.78 92.78 160.49
With the nearest neighbours (Å) after each atom.
Fractional positions:
Au 0.0000 0.5000 0.0000  2 Se 2.45, 2 Au 2.70
Au 0.5000 0.0000 0.5000  2 Se 2.45, 2 Au 2.70
Se 0.1870 0.8130 0.7500  2 Au 2.45
Se 0.8130 0.1870 0.2500  2 Au 2.45
N 0.3271 0.4475 0.6583  1 N 1.11
N 0.4475 0.3271 0.1583  1 N 1.11
N 0.5525 0.6729 0.8417  1 N 1.11
N 0.6729 0.5525 0.3417  1 N 1.11

Summary:
The calculated volume is 256.4 Å³ per cell. The final energy is -46.04 eV per cell. The value obtained for the total magnetic moment is 0.82 Bohr magnetons per cell. Its density of states at the Fermi level is 1.676 states/eV/f.u. Its formation energy (no corrections) is 0.0979 eV per atom.

Record 18
AuSe3N | PBE-GGA | optimized geometry

a b c (Å): 5.0531 5.0531 5.0531
angles (deg): 90.00 90.00 90.00
With the nearest neighbours (Å) after each atom.
Fractional positions:
Au 0.0000 0.0000 0.0000  6 Se 2.53
Se 0.0000 0.0000 0.5000  2 Au 2.53
Se 0.0000 0.5000 0.0000  2 Au 2.53
Se 0.5000 0.0000 0.0000  2 Au 2.53
N 0.5000 0.5000 0.5000  12 Se 3.57

Summary:
The calculation puts the relative energy among the computed polymorphs at 4.503 eV per formula unit. The calculated volume is 129.0 Å³ per cell. The final energy is -12.24 eV per cell. The value obtained for the total magnetic moment is 0.00 Bohr magnetons per cell. Its density of states at the Fermi level is 10.268 states/eV/f.u. Its formation energy (no corrections) is 1.9624 eV per atom.

Record 19
AuSeN3 | PBE-GGA | optimized geometry

a b c (Å): 4.0798 4.0798 4.0798
angles (deg): 90.00 90.00 90.00
With the nearest neighbours (Å) after each atom.
Fractional positions:
Au 0.0000 0.0000 0.0000  6 N 2.04
Se 0.5000 0.5000 0.5000  12 N 2.88
N 0.0000 0.0000 0.5000  2 Au 2.04
N 0.0000 0.5000 0.0000  2 Au 2.04
N 0.5000 0.0000 0.0000  2 Au 2.04

Summary:
The calculated volume is 67.9 Å³ per cell. The final energy is -18.87 eV per cell. The value obtained for the total magnetic moment is 2.42 Bohr magnetons per cell. Its density of states at the Fermi level is 4.313 states/eV/f.u. Its formation energy (no corrections) is 2.5729 eV per atom.

Record 20
Au3SeN | PBE-GGA | optimized geometry

a b c (Å): 4.4561 4.4561 4.4561
angles (deg): 90.00 90.00 90.00
With the nearest neighbours (Å) after each atom.
Fractional positions:
Au 0.0000 0.0000 0.5000  2 N 2.23
Au 0.0000 0.5000 0.0000  2 N 2.23
Au 0.5000 0.0000 0.0000  2 N 2.23
Se 0.5000 0.5000 0.5000  12 Au 3.15
N 0.0000 0.0000 0.0000  6 Au 2.23

Summary:
The calculation puts the relative energy among the computed polymorphs at 0.000 eV per formula unit. The calculated volume is 88.5 Å³ per cell. The final energy is -17.19 eV per cell. The value obtained for the total magnetic moment is 0.00 Bohr magnetons per cell. Its density of states at the Fermi level is 3.617 states/eV/f.u. Its formation energy (no corrections) is 0.8908 eV per atom.